First-principles (PBE) data for crystalline LiSmIn2Cl6 at its relaxed geometry, as listed in Alexandria via LeMat-Bulk.

The structure in CIF format:
```
data_LiSmIn2Cl6
_chemical_formula_sum 'Li2 Sm2 In4 Cl12'
_cell_length_a 7.2851
_cell_length_b 7.4987
_cell_length_c 12.6510
_cell_angle_alpha 90.00
_cell_angle_beta 124.88
_cell_angle_gamma 90.00
_symmetry_space_group_name_H-M 'P 1 21/c 1'
_symmetry_Int_Tables_number 14
loop_
_symmetry_equiv_pos_as_xyz
'x,y,z'
'-x,-y,-z'
'-x,y+1/2,-z+1/2'
'x,-y+1/2,z+1/2'
loop_
_atom_site_label
_atom_site_type_symbol
_atom_site_fract_x
_atom_site_fract_y
_atom_site_fract_z
Li1 Li 0.0000 0.0000 0.0000
Sm1 Sm 0.5000 0.0000 0.5000
In1 In 0.2322 0.0619 0.7455
Cl1 Cl 0.1612 0.2064 0.4616
Cl2 Cl 0.2535 0.7043 0.4601
Cl3 Cl 0.3231 0.0159 0.2446
```

Computed properties:
Raw total energy: -3.92 eV per atom
Density of states at the Fermi level: 0.00 states/eV/atom
E_form (uncorrected): -1.596 eV per atom